No. 1
Density functional theory data (PBE) for a relaxed U5CSe5 crystal.

Cell: 12.630 5.623 7.870 Å, 90.00 109.14 90.00°
Space group C2/m (No. 12)
Unique sites:
U 0.000 0.000 0.000 [2 per cell]
U 0.146 0.500 0.291 [4 per cell]
U 0.149 0.500 0.858 [4 per cell]
C 0.000 0.500 0.000 [2 per cell]
Se 0.000 0.500 0.500 [2 per cell]
Se 0.155 0.000 0.809 [4 per cell]
Se 0.182 0.000 0.338 [4 per cell]

theoretical density = 10.04 Mg/m³
calculated total energy = -8.40 eV/atom
ΔE_f (raw) = -9.36 eV/f.u.


No. 2
Density functional theory data (PBE) for a relaxed VCSe3 crystal.

Cell: 4.376 4.376 4.376 Å, 90.00 90.00 90.00°
Space group Pm-3m (No. 221)
Unique sites:
V 0.000 0.000 0.000 [1 per cell]
C 0.500 0.500 0.500 [1 per cell]
Se 0.000 0.500 0.500 [3 per cell]

theoretical density = 5.94 Mg/m³
calculated total energy = -4.75 eV/atom
ΔE_f (raw) = 5.07 eV/f.u.
energy above the lowest structure with this stoichiometry = 0.00 eV per formula unit


No. 3
Density functional theory data (PBE) for a relaxed VCSe crystal.

Cell: 10.489 3.401 7.419 Å, 90.00 113.03 90.00°
Space group C2/m (No. 12)
Unique sites:
V 0.146 0.000 0.000 [4 per cell]
C 0.151 0.500 0.888 [4 per cell]
Se 0.083 0.000 0.279 [4 per cell]

theoretical density = 3.87 Mg/m³
calculated total energy = -7.01 eV/atom
ΔE_f (raw) = 0.79 eV/f.u.


No. 4
Density functional theory data (PBE) for a relaxed VCSe2 crystal.

Cell: 5.421 5.421 10.504 Å, 90.00 90.00 90.00°
Space group I-42d (No. 122)
Unique sites:
V 0.000 0.000 0.000 [4 per cell]
C 0.000 0.000 0.500 [4 per cell]
Se 0.204 0.250 0.625 [8 per cell]

theoretical density = 4.75 Mg/m³
calculated total energy = -5.46 eV/atom
ΔE_f (raw) = 3.46 eV/f.u.


No. 5
Density functional theory data (PBE) for a relaxed VC3Se crystal.

Cell: 3.861 3.861 3.861 Å, 90.00 90.00 90.00°
Space group Pm-3m (No. 221)
Unique sites:
V 0.000 0.000 0.000 [1 per cell]
C 0.000 0.500 0.500 [3 per cell]
Se 0.500 0.500 0.500 [1 per cell]

theoretical density = 4.79 Mg/m³
calculated total energy = -5.34 eV/atom
ΔE_f (raw) = 13.58 eV/f.u.
energy above the lowest structure with this stoichiometry = 2.98 eV per formula unit


No. 6
Density functional theory data (PBE) for a relaxed VC3Se crystal.

Cell: 3.998 3.998 3.998 Å, 90.00 90.00 90.00°
Space group Pm-3m (No. 221)
Unique sites:
V 0.000 0.000 0.000 [1 per cell]
C 0.000 0.000 0.500 [3 per cell]
Se 0.500 0.500 0.500 [1 per cell]

theoretical density = 4.31 Mg/m³
calculated total energy = -5.93 eV/atom
ΔE_f (raw) = 10.60 eV/f.u.
energy above the lowest structure with this stoichiometry = 0.00 eV per formula unit


Question: Look up the theoretical density of the fifth one.
Answer: 4.79 Mg/m³